{
  "formula": "HoSc2Si2",
  "functional": "PBE",
  "state": "relaxed",
  "lattice_angstrom": [[-4.0917, 0.7644, -0.5549], [0.6672, -4.6496, 4.5645], [0.2887, 5.8111, 5.8773]],
  "species": ["Ho", "Ho", "Sc", "Sc", "Sc", "Sc", "Si", "Si", "Si", "Si"],
  "frac_coords": [[0.4128, 0.8256, 0.3531], [0.5872, 0.1744, 0.8531], [0.3136, 0.6271, 0.9650], [0.6864, 0.3729, 0.4650], [0.1259, 0.2517, 0.2080], [0.8741, 0.7483, 0.7080], [0.2398, 0.4796, 0.6539], [0.7602, 0.5204, 0.1539], [0.9513, 0.9026, 0.0244], [0.0487, 0.0974, 0.5244]],
  "magnetic_moment_mub_per_atom": 0.000,
  "e_form_raw_mev_per_atom": -591.8
}

---

{
  "formula": "HoSc2Si",
  "functional": "PBE",
  "state": "relaxed",
  "lattice_angstrom": [[-1.5445, -3.8030, -1.6712], [1.4814, -2.1555, 3.5359], [-3.8470, 0.6736, 2.0224]],
  "species": ["Sc", "Sc", "Si", "Ho"],
  "frac_coords": [[0.0000, 0.0000, 0.5000], [0.0000, 0.5000, 0.0000], [0.5000, 0.5000, 0.5000], [0.5000, 0.0000, 0.0000]],
  "magnetic_moment_mub_per_atom": 0.149,
  "e_form_raw_mev_per_atom": -307.9,
  "e_above_lowest_polymorph_ev_per_atom": 0.0000
}

---

{
  "formula": "Ho2ScSi",
  "functional": "PBE",
  "state": "relaxed",
  "lattice_angstrom": [[-3.2929, -0.8864, -0.4792], [-0.9837, -3.2711, 0.4370], [-3.4178, 0.5612, 10.0743]],
  "species": ["Sc", "Si", "Ho", "Ho"],
  "frac_coords": [[0.0000, 0.0000, 0.0000], [0.5000, 0.5000, 0.5000], [0.1020, 0.1020, 0.6939], [0.8980, 0.8980, 0.3061]],
  "magnetic_moment_mub_per_atom": 0.172,
  "e_form_raw_mev_per_atom": 76.3
}

---

{
  "formula": "HoSc2Si4",
  "functional": "PBE",
  "state": "relaxed",
  "lattice_angstrom": [[-2.3993, 0.9931, -2.7426], [-0.5683, -3.8671, -0.9032], [-4.9495, 1.0967, 7.3277]],
  "species": ["Ho", "Sc", "Sc", "Si", "Si", "Si", "Si"],
  "frac_coords": [[0.5000, 0.0000, 0.0000], [0.8165, 0.8165, 0.6330], [0.1835, 0.1835, 0.3670], [0.6553, 0.6553, 0.3107], [0.3447, 0.3447, 0.6893], [0.0687, 0.5687, 0.1374], [0.9313, 0.4313, 0.8626]],
  "magnetic_moment_mub_per_atom": 0.000,
  "e_form_raw_mev_per_atom": -732.6
}

---

{
  "formula": "HoSc4Si4",
  "functional": "PBE",
  "state": "relaxed",
  "lattice_angstrom": [[5.3627, 0.0000, 0.0000], [0.0000, 8.7224, 0.0000], [0.0000, 0.0000, 8.7224]],
  "species": ["Ho", "Ho", "Sc", "Sc", "Sc", "Sc", "Sc", "Sc", "Sc", "Sc", "Si", "Si", "Si", "Si", "Si", "Si", "Si", "Si"],
  "frac_coords": [[0.0000, 0.0000, 0.0000], [0.5000, 0.5000, 0.5000], [0.3795, 0.3525, 0.8898], [0.8795, 0.6102, 0.8525], [0.3795, 0.6475, 0.1102], [0.1205, 0.1475, 0.6102], [0.6205, 0.8898, 0.6475], [0.1205, 0.8525, 0.3898], [0.8795, 0.3898, 0.1475], [0.6205, 0.1102, 0.3525], [0.6114, 0.7961, 0.3469], [0.6114, 0.2039, 0.6531], [0.1114, 0.8469, 0.7039], [0.8886, 0.2961, 0.8469], [0.8886, 0.7039, 0.1531], [0.3886, 0.3469, 0.2039], [0.3886, 0.6531, 0.7961], [0.1114, 0.1531, 0.2961]],
  "magnetic_moment_mub_per_atom": 0.000,
  "e_form_raw_mev_per_atom": -510.0
}

---

{
  "formula": "Ho3ScSi2",
  "functional": "PBE",
  "state": "relaxed",
  "lattice_angstrom": [[-2.1074, 2.1540, 7.7748], [2.1074, -2.1540, 7.7748], [2.1074, 2.1540, -7.7748]],
  "species": ["Ho", "Ho", "Ho", "Sc", "Si", "Si"],
  "frac_coords": [[0.5000, 0.5000, 0.0000], [0.3208, 0.8208, 0.5000], [0.6792, 0.1792, 0.5000], [0.0000, 0.0000, 0.0000], [0.8676, 0.3676, 0.5000], [0.1324, 0.6324, 0.5000]],
  "magnetic_moment_mub_per_atom": 0.000,
  "e_form_raw_mev_per_atom": -578.3
}

---

{
  "formula": "HoScZnSi",
  "functional": "PBE",
  "state": "relaxed",
  "lattice_angstrom": [[-2.5499, -3.1169, 2.6401], [-3.2337, -2.8698, -2.1200], [0.8493, -4.7255, -0.3673]],
  "species": ["Sc", "Zn", "Si", "Ho"],
  "frac_coords": [[0.7500, 0.7500, 0.7500], [0.0000, 0.0000, 0.0000], [0.5000, 0.5000, 0.5000], [0.2500, 0.2500, 0.2500]],
  "magnetic_moment_mub_per_atom": 0.000,
  "e_form_raw_mev_per_atom": -462.5
}

---

{
  "formula": "SmHo12Sc7",
  "functional": "PBE",
  "state": "relaxed",
  "lattice_angstrom": [[8.9212, 0.0000, -3.1541], [-4.4606, 7.7260, -3.1541], [0.0000, 0.0000, 9.4623]],
  "species": ["Sm", "Ho", "Ho", "Ho", "Ho", "Ho", "Ho", "Ho", "Ho", "Ho", "Ho", "Ho", "Ho", "Sc", "Sc", "Sc", "Sc", "Sc", "Sc", "Sc"],
  "frac_coords": [[0.0000, 0.0000, 0.0000], [0.4746, 0.7383, 0.7363], [0.0020, 0.7383, 0.2637], [0.5254, 0.2617, 0.2637], [0.9980, 0.2617, 0.7363], [0.7363, 0.9980, 0.2617], [0.7363, 0.4746, 0.7383], [0.2637, 0.0020, 0.7383], [0.2637, 0.5254, 0.2617], [0.7383, 0.7363, 0.4746], [0.2617, 0.2637, 0.5254], [0.7383, 0.2637, 0.0020], [0.2617, 0.7363, 0.9980], [0.5000, 0.5000, 0.0000], [0.0000, 0.5000, 0.5000], [0.5000, 0.0000, 0.5000], [0.5000, 0.5000, 0.5000], [0.0000, 0.0000, 0.5000], [0.5000, 0.0000, 0.0000], [0.0000, 0.5000, 0.0000]],
  "magnetic_moment_mub_per_atom": 0.000,
  "formation_energy_ev_per_atom": 0.680,
  "e_above_lowest_polymorph_ev_per_atom": 0.4139
}

---

{
  "formula": "Sm6HoSc6",
  "functional": "PBE",
  "state": "relaxed",
  "lattice_angstrom": [[-5.2242, 0.6190, 3.7570], [2.0267, -5.8763, -1.7754], [6.3440, -0.5023, 8.9042]],
  "species": ["Sm", "Sm", "Sm", "Sm", "Sm", "Sm", "Ho", "Sc", "Sc", "Sc", "Sc", "Sc", "Sc"],
  "frac_coords": [[0.0000, 0.0000, 0.6652], [0.0000, 0.0000, 0.3348], [0.3333, 0.6667, 0.0000], [0.6667, 0.3333, 0.0000], [0.3333, 0.6667, 0.5000], [0.6667, 0.3333, 0.5000], [0.0000, 0.0000, 0.0000], [0.0000, 0.5000, 0.7564], [0.5000, 0.0000, 0.7564], [0.5000, 0.5000, 0.7564], [0.5000, 0.0000, 0.2436], [0.0000, 0.5000, 0.2436], [0.5000, 0.5000, 0.2436]],
  "magnetic_moment_mub_per_atom": 0.009,
  "formation_energy_ev_per_atom": 0.227
}

---

{
  "formula": "Sm6Ho3Sc2",
  "functional": "PBE",
  "state": "relaxed",
  "lattice_angstrom": [[-4.4436, -0.9122, -4.1441], [-5.3993, -2.3549, 1.7530], [-5.3269, 9.8940, 0.4865]],
  "species": ["Sm", "Sm", "Sm", "Sm", "Sm", "Sm", "Ho", "Ho", "Ho", "Sc", "Sc"],
  "frac_coords": [[0.4206, 0.6674, 0.7378], [0.7533, 0.0000, 0.7378], [0.0880, 0.3326, 0.7378], [0.2467, 0.0000, 0.2622], [0.5794, 0.3326, 0.2622], [0.9120, 0.6674, 0.2622], [0.0000, 0.0000, 0.0000], [0.3337, 0.3327, 0.0000], [0.6663, 0.6673, 0.0000], [0.1668, 0.6664, 0.5000], [0.8332, 0.3336, 0.5000]],
  "magnetic_moment_mub_per_atom": 0.000,
  "formation_energy_ev_per_atom": 0.197,
  "e_above_lowest_polymorph_ev_per_atom": 0.0000
}

---

{
  "formula": "Sm6HoSc2",
  "functional": "PBE",
  "state": "relaxed",
  "lattice_angstrom": [[-1.0522, 1.7294, -5.2053], [-10.6306, -0.1712, 5.0846], [-5.5905, 7.8852, 6.7425]],
  "species": ["Sm", "Sm", "Sm", "Sm", "Sm", "Sm", "Sm", "Sm", "Sm", "Sm", "Sm", "Sm", "Ho", "Ho", "Sc", "Sc", "Sc", "Sc"],
  "frac_coords": [[0.8368, 0.5032, 0.6698], [0.6632, 0.3302, 0.4968], [0.1632, 0.4968, 0.3302], [0.3368, 0.6698, 0.5032], [0.9210, 0.9212, 0.4210], [0.5790, 0.5790, 0.0788], [0.0790, 0.0788, 0.5790], [0.4210, 0.4210, 0.9212], [0.1639, 0.8300, 0.9970], [0.3361, 0.0030, 0.1700], [0.8361, 0.1700, 0.0030], [0.6639, 0.9970, 0.8300], [0.2500, 0.2500, 0.7500], [0.7500, 0.7500, 0.2500], [0.9996, 0.6666, 0.8334], [0.5004, 0.1666, 0.3334], [0.0004, 0.3334, 0.1666], [0.4996, 0.8334, 0.6666]],
  "magnetic_moment_mub_per_atom": 0.000,
  "formation_energy_ev_per_atom": 0.072,
  "e_above_lowest_polymorph_ev_per_atom": 0.0000
}

---

{
  "formula": "Sm3Ho2Sc4",
  "functional": "PBE",
  "state": "relaxed",
  "lattice_angstrom": [[5.5267, 1.4228, 1.0187], [2.1070, 10.6121, 0.6937], [2.1070, 4.0761, 9.8226]],
  "species": ["Sm", "Sm", "Sm", "Sm", "Sm", "Sm", "Ho", "Ho", "Ho", "Ho", "Sc", "Sc", "Sc", "Sc", "Sc", "Sc", "Sc", "Sc"],
  "frac_coords": [[0.7859, 0.0518, 0.2703], [0.7141, 0.7297, 0.9482], [0.2141, 0.9482, 0.7297], [0.2859, 0.2703, 0.0518], [0.2500, 0.6200, 0.3800], [0.7500, 0.3800, 0.6200], [0.4469, 0.2483, 0.5033], [0.0531, 0.4967, 0.7517], [0.5531, 0.7517, 0.4967], [0.9469, 0.5033, 0.2483], [0.4371, 0.9215, 0.1749], [0.0629, 0.8251, 0.0785], [0.5629, 0.0785, 0.8251], [0.9371, 0.1749, 0.9215], [0.1133, 0.1340, 0.4072], [0.3867, 0.5928, 0.8660], [0.8867, 0.8660, 0.5928], [0.6133, 0.4072, 0.1340]],
  "magnetic_moment_mub_per_atom": 0.000,
  "formation_energy_ev_per_atom": 0.119
}